No. 1
A plane-wave DFT calculation with PBE was carried out for a relaxed structure of ReC2.

```
data_ReC2
_chemical_formula_sum 'Re4 C8'
_cell_length_a 4.988
_cell_length_b 4.988
_cell_length_c 4.988
_cell_angle_alpha 90.00
_cell_angle_beta 90.00
_cell_angle_gamma 90.00
_symmetry_space_group_name_H-M 'F m -3 m'
_symmetry_Int_Tables_number 225
_symmetry_space_group_name_Hall '-F 4 2 3'
loop_
_atom_site_label
_atom_site_fract_x
_atom_site_fract_y
_atom_site_fract_z
_atom_site_occupancy
Re1 0.000 0.000 0.000 1
C1 0.250 0.250 0.250 1
```

Summary:
total magnetic moment: 0.01 μB per atom
total DFT energy (no corrections): -101.11 eV per cell


No. 2
A plane-wave DFT calculation with PBE was carried out for a relaxed structure of LaYZn.

```
data_LaYZn
_chemical_formula_sum 'La4 Y4 Zn4'
_cell_length_a 7.166
_cell_length_b 7.166
_cell_length_c 7.166
_cell_angle_alpha 90.00
_cell_angle_beta 90.00
_cell_angle_gamma 90.00
_symmetry_space_group_name_H-M 'F -4 3 m'
_symmetry_Int_Tables_number 216
_symmetry_space_group_name_Hall 'F -4 2 3'
loop_
_atom_site_label
_atom_site_fract_x
_atom_site_fract_y
_atom_site_fract_z
_atom_site_occupancy
La1 0.000 0.000 0.000 1
Y1 0.000 0.000 0.500 1
Zn1 0.250 0.250 0.250 1
```

Summary:
total magnetic moment: 0.00 μB per atom
formation energy: 0.01 eV per atom
total DFT energy (no corrections): -50.50 eV per cell


No. 3
A plane-wave DFT calculation with PBE was carried out for a relaxed structure of LuCoBiAu.

```
data_LuCoBiAu
_chemical_formula_sum 'Lu4 Co4 Bi4 Au4'
_cell_length_a 6.862
_cell_length_b 6.862
_cell_length_c 6.862
_cell_angle_alpha 90.00
_cell_angle_beta 90.00
_cell_angle_gamma 90.00
_symmetry_space_group_name_H-M 'F -4 3 m'
_symmetry_Int_Tables_number 216
_symmetry_space_group_name_Hall 'F -4 2 3'
loop_
_atom_site_label
_atom_site_fract_x
_atom_site_fract_y
_atom_site_fract_z
_atom_site_occupancy
Lu1 0.000 0.000 0.000 1
Co1 0.250 0.250 0.250 1
Bi1 0.000 0.000 0.500 1
Au1 0.250 0.250 0.750 1
```

Summary:
total magnetic moment: 0.20 μB per atom
total DFT energy (no corrections): -77.78 eV per cell


No. 4
A plane-wave DFT calculation with PBE was carried out for a relaxed structure of Er3Cd3AgAu2.

```
data_Er3Cd3AgAu2
_chemical_formula_sum 'Er3 Cd3 Ag1 Au2'
_cell_length_a 7.8351
_cell_length_b 7.8351
_cell_length_c 3.8157
_cell_angle_alpha 90.00
_cell_angle_beta 90.00
_cell_angle_gamma 120.00
_symmetry_space_group_name_H-M 'P -6 2 m'
_symmetry_Int_Tables_number 189
_symmetry_space_group_name_Hall 'P -6 -2'
loop_
_atom_site_label
_atom_site_fract_x
_atom_site_fract_y
_atom_site_fract_z
_atom_site_occupancy
Er1 0.0000 0.4087 0.0000 1
Cd1 0.0000 0.7371 0.5000 1
Ag1 0.0000 0.0000 0.0000 1
Au1 0.3333 0.6667 0.5000 1
```

Summary:
total magnetic moment: 0.00 μB per atom
formation energy: -0.58 eV per atom
total DFT energy (no corrections): -30.92 eV per cell


No. 5
A plane-wave DFT calculation with PBE was carried out for a relaxed structure of FeSb.

```
data_FeSb
_chemical_formula_sum 'Fe4 Sb4'
_cell_length_a 5.369
_cell_length_b 5.369
_cell_length_c 5.369
_cell_angle_alpha 90.00
_cell_angle_beta 90.00
_cell_angle_gamma 90.00
_symmetry_space_group_name_H-M 'F m -3 m'
_symmetry_Int_Tables_number 225
_symmetry_space_group_name_Hall '-F 4 2 3'
loop_
_atom_site_label
_atom_site_fract_x
_atom_site_fract_y
_atom_site_fract_z
_atom_site_occupancy
Fe1 0.000 0.000 0.000 1
Sb1 0.000 0.000 0.500 1
```

Summary:
total magnetic moment: 1.21 μB per atom
total DFT energy (no corrections): -46.36 eV per cell


No. 6
A plane-wave DFT calculation with PBE was carried out for a relaxed structure of TaZnAu.

```
data_TaZnAu
_chemical_formula_sum 'Ta4 Zn4 Au4'
_cell_length_a 6.210
_cell_length_b 6.210
_cell_length_c 6.210
_cell_angle_alpha 90.00
_cell_angle_beta 90.00
_cell_angle_gamma 90.00
_symmetry_space_group_name_H-M 'F -4 3 m'
_symmetry_Int_Tables_number 216
_symmetry_space_group_name_Hall 'F -4 2 3'
loop_
_atom_site_label
_atom_site_fract_x
_atom_site_fract_y
_atom_site_fract_z
_atom_site_occupancy
Ta1 0.000 0.000 0.000 1
Zn1 0.250 0.250 0.250 1
Au1 0.250 0.250 0.750 1
```

Summary:
total magnetic moment: 0.00 μB per atom
formation energy: 0.50 eV per atom
total DFT energy (no corrections): -59.57 eV per cell


No. 7
A plane-wave DFT calculation with PBE was carried out for a relaxed structure of Pu3SbC.

```
data_Pu3SbC
_chemical_formula_sum 'Pu3 Sb1 C1'
_cell_length_a 4.877
_cell_length_b 4.877
_cell_length_c 4.877
_cell_angle_alpha 90.00
_cell_angle_beta 90.00
_cell_angle_gamma 90.00
_symmetry_space_group_name_H-M 'P m -3 m'
_symmetry_Int_Tables_number 221
_symmetry_space_group_name_Hall '-P 4 2 3'
loop_
_atom_site_label
_atom_site_fract_x
_atom_site_fract_y
_atom_site_fract_z
_atom_site_occupancy
Pu1 0.000 0.000 0.500 1
Sb1 0.500 0.500 0.500 1
C1 0.000 0.000 0.000 1
```

Summary:
total magnetic moment: 3.33 μB per atom
total DFT energy (no corrections): -57.94 eV per cell


No. 8
A plane-wave DFT calculation with PBE was carried out for a relaxed structure of LiMgTlZn.

```
data_LiMgTlZn
_chemical_formula_sum 'Li4 Mg4 Tl4 Zn4'
_cell_length_a 6.745
_cell_length_b 6.745
_cell_length_c 6.745
_cell_angle_alpha 90.00
_cell_angle_beta 90.00
_cell_angle_gamma 90.00
_symmetry_space_group_name_H-M 'F -4 3 m'
_symmetry_Int_Tables_number 216
_symmetry_space_group_name_Hall 'F -4 2 3'
loop_
_atom_site_label
_atom_site_fract_x
_atom_site_fract_y
_atom_site_fract_z
_atom_site_occupancy
Li1 0.000 0.000 0.000 1
Mg1 0.250 0.250 0.750 1
Tl1 0.250 0.250 0.250 1
Zn1 0.000 0.000 0.500 1
```

Summary:
total DFT energy (no corrections): -29.51 eV per cell


Q: What is the formula in the fifth record?
A: FeSb